#a
Density functional theory data (GGA-PBE) for a relaxed TaNb3Pt crystal.

Properties
- Total moment: 0.000 μB/cell

Cell and atoms, written as POSCAR:
```
TaNb3Pt
1.0
4.822 0.000 0.000
0.000 4.822 0.000
0.000 0.000 4.822
Nb Pt Ta
3 1 1
Cartesian
2.411 0.000 0.000 Nb
0.000 2.411 0.000 Nb
0.000 0.000 2.411 Nb
2.411 2.411 2.411 Pt
0.000 0.000 0.000 Ta
```

---

#b
Density functional theory data (GGA-PBE) for a relaxed TaNb3Pt crystal.

Properties
- Total moment: 0.000 μB/cell

Cell and atoms, written as POSCAR:
```
TaNb3Pt
1.0
-2.679 2.573 3.117
-3.932 -0.795 -2.723
-0.934 -4.033 2.525
Pt Nb Ta
1 3 1
Cartesian
0.000 0.000 0.000 Pt
-0.467 -2.016 1.263 Nb
-1.339 1.286 1.559 Nb
-1.966 -0.397 -1.362 Nb
-3.773 -1.127 1.460 Ta
```

---

#c
Density functional theory data (GGA-PBE) for a relaxed TaNb3Pt crystal.

Properties
- Total moment: 0.000 μB/cell

Cell and atoms, written as POSCAR:
```
TaNb3Pt
1.0
4.893 0.000 0.000
0.000 5.556 0.000
0.000 0.000 13.263
Nb Ta Pt
12 4 4
Cartesian
3.481 5.554 4.753 Nb
1.034 2.776 8.510 Nb
3.859 2.780 4.753 Nb
1.223 4.167 0.638 Nb
3.481 0.002 1.879 Nb
1.412 5.554 11.384 Nb
1.412 0.002 8.510 Nb
3.859 2.776 1.879 Nb
3.670 4.167 7.270 Nb
1.223 1.389 5.993 Nb
3.670 1.389 12.624 Nb
1.034 2.780 11.384 Nb
1.480 2.778 3.316 Ta
3.413 2.778 9.947 Ta
3.927 0.000 9.947 Ta
0.966 0.000 3.316 Ta
1.223 1.389 0.775 Pt
1.223 4.167 5.856 Pt
3.670 1.389 7.407 Pt
3.670 4.167 12.488 Pt
```

---

Least stable structure: #a

---

#a
Density functional theory data (GGA-PBE) for a relaxed Ta2Nb6Pt crystal.

Properties
- Total moment: 0.000 μB/cell

Cell and atoms, written as POSCAR:
```
Ta2Nb6Pt
1.0
-1.845 4.004 -0.871
-3.919 -2.004 -0.909
-2.325 0.749 8.370
Ta Nb Pt
2 6 1
Cartesian
-4.883 1.645 6.314 Ta
-3.206 1.105 0.276 Ta
-4.044 1.375 3.295 Nb
-1.631 2.230 2.115 Nb
-2.668 -0.774 2.095 Nb
-3.576 -0.481 5.365 Nb
-1.162 0.374 4.185 Nb
-2.539 2.523 5.384 Nb
0.000 0.000 0.000 Pt
```

---

#b
Density functional theory data (GGA-PBE) for a relaxed Ta2Nb6Pt crystal.

Properties
- Total moment: 0.000 μB/cell

Cell and atoms, written as POSCAR:
```
Ta2Nb6Pt
1.0
-1.788 3.787 -2.278
-5.210 -0.064 -0.560
-3.320 3.394 5.977
Pt Nb Ta
1 6 2
Cartesian
-1.660 1.697 2.989 Pt
-5.141 5.947 2.946 Nb
-4.674 3.710 -1.140 Nb
-5.176 1.170 0.193 Nb
-6.320 4.180 1.097 Nb
-5.643 3.407 4.279 Nb
-3.997 2.937 2.043 Nb
-7.997 4.644 3.330 Ta
-2.321 2.473 -0.191 Ta
```

---

Least stable structure: #a

---

#a
Density functional theory data (GGA-PBE) for a relaxed Ta3Nb2Pt crystal.

Properties
- Total moment: 0.000 μB/cell

Cell and atoms, written as POSCAR:
```
Ta3Nb2Pt
1.0
-2.339 -2.319 0.501
2.304 -2.052 1.259
-1.638 3.546 8.774
Pt Nb Ta
1 2 3
Cartesian
-0.837 -0.412 5.267 Pt
-1.375 0.754 8.152 Nb
-0.298 -1.578 2.382 Nb
0.000 0.000 0.000 Ta
-0.550 1.192 2.949 Ta
-1.087 2.354 5.825 Ta
```

---

#b
Density functional theory data (GGA-PBE) for a relaxed Ta3Nb2Pt crystal.

Properties
- Total moment: 0.000 μB/cell

Cell and atoms, written as POSCAR:
```
Ta3Nb2Pt
1.0
2.766 -0.473 0.262
-1.620 8.319 -1.855
2.939 -1.580 10.092
Nb Ta Pt
4 6 2
Cartesian
1.152 4.059 5.117 Nb
1.887 5.742 7.256 Nb
2.934 2.207 3.382 Nb
2.198 0.524 1.243 Nb
3.162 2.775 7.939 Ta
4.670 -0.075 8.726 Ta
-0.585 6.341 -0.227 Ta
1.619 1.173 5.732 Ta
2.467 5.093 2.766 Ta
0.924 3.491 0.559 Ta
3.092 -0.579 3.813 Pt
0.993 6.845 4.685 Pt
```

---

Least stable structure: #b